Entry 1:
Entry from Alexandria via LeMat-Bulk: a relaxed Rb3Tl7Hg4 crystal (PBE).

Unit cell a=5.489 b=10.055 c=10.284 alpha=64.03 beta=74.52 gamma=74.16
Sites, in units of the cell vectors:
Rb1 0.294 0.205 0.207
Rb2 0.706 0.795 0.793
Rb3 0.000 0.500 0.500
Tl1 0.336 0.813 0.514
Tl2 0.499 0.180 0.822
Tl3 0.852 0.366 0.930
Tl4 0.664 0.187 0.486
Tl5 0.148 0.634 0.070
Tl6 0.000 0.000 0.000
Tl7 0.501 0.820 0.178
Hg1 0.657 0.481 0.204
Hg2 0.343 0.519 0.796
Hg3 0.860 0.924 0.356
Hg4 0.140 0.076 0.644

**E_tot**: -0.1168 Ry/atom
**Calculated formation energy**: -0.112 eV per atom

---

Entry 2:
Entry from Alexandria via LeMat-Bulk: a relaxed Rb3Tl9Hg2 crystal (PBE).

Unit cell a=5.355 b=10.144 c=10.144 alpha=72.27 beta=74.70 gamma=74.70
Sites, in units of the cell vectors:
Rb1 0.000 0.000 0.000
Rb2 0.690 0.310 0.310
Rb3 0.310 0.690 0.690
Tl1 0.000 0.500 0.500
Tl2 0.671 0.968 0.690
Tl3 0.329 0.032 0.310
Tl4 0.671 0.690 0.968
Tl5 0.329 0.310 0.032
Tl6 0.869 0.856 0.406
Tl7 0.131 0.144 0.594
Tl8 0.869 0.406 0.856
Tl9 0.131 0.594 0.144
Hg1 0.500 0.307 0.693
Hg2 0.500 0.693 0.307

**E_tot**: -0.1350 Ry/atom
**Calculated formation energy**: -0.066 eV per atom

---

Entry 3:
Entry from Alexandria via LeMat-Bulk: a relaxed Rb4TlHg5 crystal (PBE).

Unit cell a=5.799 b=9.081 c=9.081 alpha=84.15 beta=71.38 gamma=71.38
Sites, in units of the cell vectors:
Rb1 0.745 0.719 0.719
Rb2 0.464 0.281 0.719
Rb3 0.464 0.719 0.281
Rb4 0.184 0.281 0.281
Tl1 0.116 0.000 0.000
Hg1 0.166 0.613 0.000
Hg2 0.166 0.000 0.613
Hg3 0.779 0.000 0.387
Hg4 0.779 0.387 0.000
Hg5 0.627 0.000 0.000

**E_tot**: -0.0697 Ry/atom
**Calculated formation energy**: -0.174 eV per atom

---

Entry 4:
Entry from Alexandria via LeMat-Bulk: a relaxed Rb6TlHg crystal (PBE).

Unit cell a=5.079 b=10.523 c=10.523 alpha=95.87 beta=90.00 gamma=90.00
Sites, in units of the cell vectors:
Rb1 0.000 0.533 0.789
Rb2 0.000 0.211 0.467
Rb3 0.000 0.663 0.337
Rb4 0.500 0.909 0.655
Rb5 0.500 0.345 0.091
Rb6 0.500 0.930 0.070
Tl1 0.000 0.150 0.850
Hg1 0.500 0.259 0.741

**E_tot**: -0.0817 Ry/atom
**Calculated formation energy**: -0.052 eV per atom

---

Entry 5:
Entry from Alexandria via LeMat-Bulk: a relaxed Rb3Tl3Hg8 crystal (PBE).

Unit cell a=5.466 b=10.140 c=10.140 alpha=62.29 beta=74.37 gamma=74.37
Sites, in units of the cell vectors:
Rb1 0.500 0.500 0.500
Rb2 0.788 0.212 0.212
Rb3 0.212 0.788 0.788
Tl1 0.500 0.000 0.000
Tl2 0.000 0.818 0.182
Tl3 0.000 0.182 0.818
Hg1 0.645 0.063 0.648
Hg2 0.355 0.937 0.352
Hg3 0.645 0.648 0.063
Hg4 0.355 0.352 0.937
Hg5 0.837 0.811 0.515
Hg6 0.163 0.189 0.485
Hg7 0.837 0.515 0.811
Hg8 0.163 0.485 0.189

**E_tot**: -0.0789 Ry/atom
**Calculated formation energy**: -0.186 eV per atom

---

Entry 6:
Entry from Alexandria via LeMat-Bulk: a relaxed Rb2TlHg3 crystal (PBE).

Unit cell a=5.619 b=6.975 c=6.835 alpha=77.94 beta=65.73 gamma=66.25
Sites, in units of the cell vectors:
Rb1 0.560 0.186 0.694
Rb2 0.444 0.804 0.309
Tl1 0.171 0.401 0.257
Hg1 0.836 0.596 0.733
Hg2 0.832 0.236 0.101
Hg3 0.158 0.777 0.906

**E_tot**: -0.0795 Ry/atom
**Calculated formation energy**: -0.214 eV per atom

---

Entry 7:
Entry from Alexandria via LeMat-Bulk: a relaxed Rb4TlHg3 crystal (PBE).

Unit cell a=5.289 b=5.250 c=13.412 alpha=90.00 beta=90.00 gamma=90.00
Sites, in units of the cell vectors:
Tl1 0.500 0.500 0.057
Hg1 0.000 0.500 0.564
Hg2 0.000 0.000 0.440
Hg3 0.500 0.000 0.938
Rb1 0.500 0.500 0.356
Rb2 0.000 0.500 0.850
Rb3 0.000 0.000 0.149
Rb4 0.500 0.000 0.646

**E_tot**: -0.0789 Ry/atom
**Calculated formation energy**: -0.181 eV per atom

---

Entry 8:
Entry from Alexandria via LeMat-Bulk: a relaxed Rb2Tl12Hg crystal (PBE).

Unit cell a=7.471 b=7.471 c=19.202 alpha=90.00 beta=90.00 gamma=90.00
Sites, in units of the cell vectors:
Rb1 0.500 0.000 0.252
Rb2 0.000 0.500 0.252
Rb3 0.000 0.500 0.748
Rb4 0.500 0.000 0.748
Tl1 0.500 0.500 0.818
Tl2 0.000 0.000 0.818
Tl3 0.750 0.750 0.912
Tl4 0.250 0.750 0.912
Tl5 0.000 0.000 0.348
Tl6 0.250 0.750 0.088
Tl7 0.837 0.337 0.566
Tl8 0.500 0.500 0.348
Tl9 0.250 0.250 0.912
Tl10 0.750 0.750 0.088
Tl11 0.337 0.163 0.566
Tl12 0.663 0.163 0.434
Tl13 0.000 0.000 0.652
Tl14 0.163 0.337 0.434
Tl15 0.250 0.250 0.088
Tl16 0.837 0.663 0.434
Tl17 0.663 0.837 0.566
Tl18 0.000 0.000 0.182
Tl19 0.163 0.663 0.566
Tl20 0.500 0.500 0.652
Tl21 0.750 0.250 0.912
Tl22 0.500 0.500 0.182
Tl23 0.337 0.837 0.434
Tl24 0.750 0.250 0.088
Hg1 0.500 0.000 0.000
Hg2 0.000 0.500 0.000

**E_tot**: -0.1501 Ry/atom
**Calculated formation energy**: -0.001 eV per atom

---

Entry 9:
Entry from Alexandria via LeMat-Bulk: a relaxed Rb2Tl17Hg3 crystal (PBE).

Unit cell a=9.329 b=9.120 c=9.307 alpha=85.29 beta=79.67 gamma=84.83
Sites, in units of the cell vectors:
Rb1 0.345 0.333 0.344
Rb2 0.655 0.667 0.656
Tl1 0.500 0.000 0.000
Tl2 0.000 0.000 0.500
Tl3 0.000 0.500 0.000
Tl4 0.996 0.741 0.260
Tl5 0.741 0.258 0.004
Tl6 0.248 0.000 0.751
Tl7 0.259 0.742 0.996
Tl8 0.752 0.000 0.249
Tl9 0.004 0.259 0.740
Tl10 0.192 0.660 0.663
Tl11 0.664 0.662 0.190
Tl12 0.671 0.180 0.671
Tl13 0.808 0.340 0.337
Tl14 0.336 0.338 0.810
Tl15 0.329 0.820 0.329
Tl16 0.107 0.120 0.108
Tl17 0.893 0.880 0.892
Hg1 0.000 0.500 0.500
Hg2 0.500 0.500 0.000
Hg3 0.500 0.000 0.500

**E_tot**: -0.1442 Ry/atom
**Calculated formation energy**: -0.004 eV per atom

---

Entry 10:
Entry from Alexandria via LeMat-Bulk: a relaxed Rb2TlHg crystal (PBE).

Unit cell a=5.184 b=7.039 c=7.039 alpha=60.20 beta=68.23 gamma=68.23
Sites, in units of the cell vectors:
Rb1 0.058 0.870 0.014
Rb2 0.442 0.486 0.630
Tl1 0.250 0.176 0.324
Hg1 0.750 0.969 0.531

**E_tot**: -0.0920 Ry/atom
**Calculated formation energy**: -0.101 eV per atom
**Offset from the most stable computed form**: 0.10 eV per formula unit

---

Entry 11:
Entry from Alexandria via LeMat-Bulk: a relaxed Rb2TlHg crystal (PBE).

Unit cell a=4.672 b=4.672 c=11.614 alpha=74.43 beta=74.43 gamma=50.66
Sites, in units of the cell vectors:
Rb1 0.071 0.071 0.758
Rb2 0.281 0.281 0.242
Tl1 0.472 0.472 0.500
Hg1 0.675 0.675 0.000

**E_tot**: -0.0842 Ry/atom
**Calculated formation energy**: 0.005 eV per atom
**Offset from the most stable computed form**: 0.53 eV per formula unit

---

Entry 12:
Entry from Alexandria via LeMat-Bulk: a relaxed RbTl15Hg4 crystal (PBE).

Unit cell a=5.055 b=5.055 c=23.931 alpha=90.00 beta=90.00 gamma=90.00
Sites, in units of the cell vectors:
Rb1 0.000 0.000 0.000
Tl1 0.500 0.500 0.000
Tl2 0.500 0.500 0.206
Tl3 0.500 0.500 0.403
Tl4 0.500 0.500 0.597
Tl5 0.500 0.500 0.794
Tl6 0.500 0.000 0.112
Tl7 0.500 0.000 0.301
Tl8 0.500 0.000 0.500
Tl9 0.500 0.000 0.699
Tl10 0.500 0.000 0.888
Tl11 0.000 0.500 0.112
Tl12 0.000 0.500 0.301
Tl13 0.000 0.500 0.500
Tl14 0.000 0.500 0.699
Tl15 0.000 0.500 0.888
Hg1 0.000 0.000 0.202
Hg2 0.000 0.000 0.403
Hg3 0.000 0.000 0.597
Hg4 0.000 0.000 0.798

**E_tot**: -0.1370 Ry/atom
**Calculated formation energy**: 0.019 eV per atom